Record 1
{
  "formula": "CoReW2",
  "functional": "PBE",
  "state": "relaxed",
  "e_form_ev_per_atom": 0.139,
  "relative_energy_mev_per_atom": 15,
  "lattice": [[-1.9728, 1.9728, 3.7466], [1.9728, -1.9728, 3.7466], [1.9728, 1.9728, -3.7466]],
  "species": ["Co", "Re", "W", "W"],
  "fractional_positions": [[0.0000, 0.0000, 0.0000], [0.5000, 0.5000, 0.0000], [0.2500, 0.7500, 0.5000], [0.7500, 0.2500, 0.5000]]
}


Record 2
{
  "formula": "BeRe2Ru",
  "functional": "PBE",
  "state": "relaxed",
  "e_form_ev_per_atom": 0.059,
  "relative_energy_mev_per_atom": 129,
  "lattice": [[2.7557, 0.0000, 0.0000], [0.0000, 3.7860, 0.0000], [0.0000, 0.0000, 5.1987]],
  "species": ["Be", "Re", "Re", "Ru"],
  "fractional_positions": [[0.0000, 0.0000, 0.0000], [0.0000, 0.0000, 0.5018], [0.5000, 0.5000, 0.2491], [0.5000, 0.5000, 0.7858]]
}


Record 3
{
  "formula": "Rh4W3",
  "functional": "PBE",
  "state": "relaxed",
  "e_form_ev_per_atom": 0.000,
  "relative_energy_mev_per_atom": 0,
  "lattice": [[-1.6274, 1.6274, 10.0695], [1.6274, -1.6274, 10.0695], [1.6274, 1.6274, -10.0695]],
  "species": ["Rh", "Rh", "Rh", "Rh", "W", "W", "W"],
  "fractional_positions": [[0.0674, 0.0674, 0.0000], [0.3536, 0.3536, 0.0000], [0.6464, 0.6464, 0.0000], [0.9326, 0.9326, 0.0000], [0.2089, 0.2089, 0.0000], [0.5000, 0.5000, 0.0000], [0.7911, 0.7911, 0.0000]]
}


Record 4
{
  "formula": "Rb3Pb5Au2",
  "functional": "PBE",
  "state": "relaxed",
  "e_form_ev_per_atom": -0.164,
  "lattice": [[8.3659, -6.3126, 0.0000], [8.3659, 6.3126, 0.0000], [-3.2884, 0.0000, 6.9684]],
  "species": ["Rb", "Rb", "Rb", "Rb", "Rb", "Rb", "Pb", "Pb", "Pb", "Pb", "Pb", "Pb", "Pb", "Pb", "Pb", "Pb", "Au", "Au", "Au", "Au"],
  "fractional_positions": [[0.0264, 0.9736, 0.7500], [0.1306, 0.6111, 0.3528], [0.3889, 0.8694, 0.1472], [0.6111, 0.1306, 0.8528], [0.8694, 0.3889, 0.6472], [0.9736, 0.0264, 0.2500], [0.2282, 0.5170, 0.8648], [0.2414, 0.2609, 0.4781], [0.2609, 0.2414, 0.9781], [0.4830, 0.7718, 0.6352], [0.4959, 0.5041, 0.2500], [0.5041, 0.4959, 0.7500], [0.5170, 0.2282, 0.3648], [0.7391, 0.7586, 0.0219], [0.7586, 0.7391, 0.5219], [0.7718, 0.4830, 0.1352], [0.0244, 0.2920, 0.1209], [0.2920, 0.0244, 0.6209], [0.7080, 0.9756, 0.3791], [0.9756, 0.7080, 0.8791]]
}


Record 5
{
  "formula": "In3FeN",
  "functional": "PBE",
  "state": "relaxed",
  "formation_energy_uncorrected_ev_per_atom": 0.83,
  "relative_energy_mev_per_atom": 0,
  "lattice": [[4.6294, 0.0000, 0.0000], [0.0000, 4.6294, 0.0000], [0.0000, 0.0000, 4.6294]],
  "species": ["In", "In", "In", "Fe", "N"],
  "fractional_positions": [[0.0000, 0.0000, 0.5000], [0.0000, 0.5000, 0.0000], [0.5000, 0.0000, 0.0000], [0.5000, 0.5000, 0.5000], [0.0000, 0.0000, 0.0000]]
}


Record 6
{
  "formula": "Zr3BiMo",
  "functional": "PBE",
  "state": "relaxed",
  "e_form_ev_per_atom": 0.496,
  "relative_energy_mev_per_atom": 0,
  "lattice": [[5.0829, 0.0000, 0.0000], [0.0000, 5.0829, 0.0000], [0.0000, 0.0000, 5.0829]],
  "species": ["Zr", "Zr", "Zr", "Bi", "Mo"],
  "fractional_positions": [[0.0000, 0.0000, 0.5000], [0.0000, 0.5000, 0.0000], [0.5000, 0.0000, 0.0000], [0.5000, 0.5000, 0.5000], [0.0000, 0.0000, 0.0000]]
}


Record 7
{
  "formula": "FeCuBr5",
  "functional": "PBE",
  "state": "relaxed",
  "formation_energy_uncorrected_ev_per_atom": -0.33,
  "lattice": [[4.7970, -5.7340, 0.0000], [4.7970, 5.7340, 0.0000], [-4.3976, 0.0000, 8.1232]],
  "species": ["Fe", "Fe", "Cu", "Cu", "Br", "Br", "Br", "Br", "Br", "Br", "Br", "Br", "Br", "Br"],
  "fractional_positions": [[0.1218, 0.8782, 0.7500], [0.8782, 0.1218, 0.2500], [0.5000, 0.5000, 0.0000], [0.5000, 0.5000, 0.5000], [0.1856, 0.2267, 0.8484], [0.2267, 0.1856, 0.3484], [0.2273, 0.7550, 0.5388], [0.2450, 0.7727, 0.9612], [0.4255, 0.5745, 0.2500], [0.5745, 0.4255, 0.7500], [0.7550, 0.2273, 0.0388], [0.7727, 0.2450, 0.4612], [0.7733, 0.8144, 0.6516], [0.8144, 0.7733, 0.1516]]
}


Record 8
{
  "formula": "Rb2Te2Br7",
  "functional": "PBE",
  "state": "relaxed",
  "formation_energy_uncorrected_ev_per_atom": -0.71,
  "lattice": [[4.9699, -5.5135, 0.0000], [4.9699, 5.5135, 0.0000], [-0.8862, 0.0000, 8.2173]],
  "species": ["Rb", "Rb", "Te", "Te", "Br", "Br", "Br", "Br", "Br", "Br", "Br"],
  "fractional_positions": [[0.2424, 0.7576, 0.0000], [0.7576, 0.2424, 0.0000], [0.2808, 0.2808, 0.5283], [0.7192, 0.7192, 0.4717], [0.0000, 0.0000, 0.5000], [0.1089, 0.4568, 0.2876], [0.2779, 0.2779, 0.8629], [0.4568, 0.1089, 0.2876], [0.5432, 0.8911, 0.7124], [0.7221, 0.7221, 0.1371], [0.8911, 0.5432, 0.7124]]
}


Record 9
{
  "formula": "Ac3Si2Pd2",
  "functional": "PBE",
  "state": "relaxed",
  "formation_energy_uncorrected_ev_per_atom": -0.73,
  "lattice": [[5.7552, -2.2761, 0.0000], [5.7552, 2.2761, 0.0000], [-2.7189, 0.0000, 7.2700]],
  "species": ["Ac", "Ac", "Ac", "Si", "Si", "Pd", "Pd"],
  "fractional_positions": [[0.0000, 0.0000, 0.0000], [0.1878, 0.1878, 0.6513], [0.8122, 0.8122, 0.3487], [0.4730, 0.4730, 0.6394], [0.5270, 0.5270, 0.3606], [0.3266, 0.3266, 0.0875], [0.6734, 0.6734, 0.9125]]
}


Record 10
{
  "formula": "Li2MnH",
  "functional": "PBE",
  "state": "relaxed",
  "relative_energy_mev_per_atom": 0,
  "lattice": [[-2.4801, 2.4801, 3.3472], [2.4801, -2.4801, 3.3472], [2.4801, 2.4801, -3.3472]],
  "species": ["Li", "Li", "Li", "Li", "Mn", "Mn", "H", "H"],
  "fractional_positions": [[0.3750, 0.2030, 0.3280], [0.7970, 0.1250, 0.1720], [0.8750, 0.0470, 0.6720], [0.9530, 0.6250, 0.8280], [0.2500, 0.7500, 0.5000], [0.5000, 0.5000, 0.0000], [0.0000, 0.0000, 0.0000], [0.7500, 0.2500, 0.5000]]
}


Record 11
{
  "formula": "ErThOs",
  "functional": "PBE",
  "state": "relaxed",
  "e_form_ev_per_atom": -0.240,
  "relative_energy_mev_per_atom": 45,
  "lattice": [[0.0000, 3.4328, 3.4328], [3.4328, 0.0000, 3.4328], [3.4328, 3.4328, 0.0000]],
  "species": ["Er", "Th", "Os"],
  "fractional_positions": [[0.0000, 0.0000, 0.0000], [0.5000, 0.5000, 0.5000], [0.2500, 0.2500, 0.2500]]
}


Record 12
{
  "formula": "TbNd3Co",
  "functional": "PBE",
  "state": "relaxed",
  "e_form_ev_per_atom": 0.106,
  "relative_energy_mev_per_atom": 168,
  "lattice": [[5.4380, 0.0000, 0.0000], [0.0000, 5.4380, 0.0000], [0.0000, 0.0000, 5.4380]],
  "species": ["Tb", "Nd", "Nd", "Nd", "Co"],
  "fractional_positions": [[0.0000, 0.0000, 0.0000], [0.0000, 0.5000, 0.5000], [0.5000, 0.0000, 0.5000], [0.5000, 0.5000, 0.0000], [0.5000, 0.5000, 0.5000]]
}


Record 13
{
  "formula": "LiEu2H4",
  "functional": "PBE",
  "state": "relaxed",
  "final_energy_ev_per_cell": -39.2,
  "lattice": [[-1.8640, 1.8640, 6.3080], [1.8640, -1.8640, 6.3080], [1.8640, 1.8640, -6.3080]],
  "species": ["Li", "Eu", "Eu", "H", "H", "H", "H"],
  "fractional_positions": [[0.0000, 0.0000, 0.0000], [0.3563, 0.3563, 0.0000], [0.6437, 0.6437, 0.0000], [0.0000, 0.5000, 0.5000], [0.1628, 0.1628, 0.0000], [0.5000, 0.0000, 0.5000], [0.8372, 0.8372, 0.0000]]
}


Record 14
{
  "formula": "Na2Cd6Rh",
  "functional": "PBE",
  "state": "relaxed",
  "e_form_ev_per_atom": -0.074,
  "lattice": [[3.7913, -6.5219, 0.0000], [3.7913, 6.5219, 0.0000], [-1.6969, 0.0000, 8.3886]],
  "species": ["Na", "Na", "Na", "Na", "Cd", "Cd", "Cd", "Cd", "Cd", "Cd", "Cd", "Cd", "Cd", "Cd", "Cd", "Cd", "Rh", "Rh"],
  "fractional_positions": [[0.0818, 0.7407, 0.5454], [0.2593, 0.9182, 0.9546], [0.7407, 0.0818, 0.0454], [0.9182, 0.2593, 0.4546], [0.0073, 0.5528, 0.1864], [0.1802, 0.1847, 0.7310], [0.1847, 0.1802, 0.2310], [0.3724, 0.5685, 0.0712], [0.4315, 0.6276, 0.4288], [0.4472, 0.9927, 0.3136], [0.5528, 0.0073, 0.6864], [0.5685, 0.3724, 0.5712], [0.6276, 0.4315, 0.9288], [0.8153, 0.8198, 0.7690], [0.8198, 0.8153, 0.2690], [0.9927, 0.4472, 0.8136], [0.3951, 0.6049, 0.7500], [0.6049, 0.3951, 0.2500]]
}


Record 15
{
  "formula": "Sm4Si3Pt",
  "functional": "PBE",
  "state": "relaxed",
  "formation_energy_uncorrected_ev_per_atom": -0.86,
  "lattice": [[3.9917, 0.0000, 0.0000], [0.0000, 4.2985, 0.0000], [0.0000, 0.0000, 10.9910]],
  "species": ["Sm", "Sm", "Sm", "Sm", "Si", "Si", "Si", "Pt"],
  "fractional_positions": [[0.0000, 0.0000, 0.0000], [0.0000, 0.5000, 0.4936], [0.5000, 0.0000, 0.2772], [0.5000, 0.5000, 0.7784], [0.0000, 0.0000, 0.7029], [0.0000, 0.5000, 0.2124], [0.5000, 0.0000, 0.5643], [0.5000, 0.5000, 0.0588]]
}


Record 16
{
  "formula": "MgZr5Sc5",
  "functional": "PBE",
  "state": "relaxed",
  "e_form_ev_per_atom": 0.292,
  "lattice": [[5.6325, 0.0000, 0.0000], [-2.8163, 4.8779, 0.0000], [0.0000, 0.0000, 10.1192]],
  "species": ["Mg", "Zr", "Zr", "Zr", "Zr", "Zr", "Sc", "Sc", "Sc", "Sc", "Sc"],
  "fractional_positions": [[0.0000, 0.0000, 0.0000], [0.0054, 0.5027, 0.5000], [0.4973, 0.5027, 0.5000], [0.4973, 0.9946, 0.5000], [0.6667, 0.3333, 0.2634], [0.6667, 0.3333, 0.7366], [0.0000, 0.0000, 0.3134], [0.0000, 0.0000, 0.6866], [0.3333, 0.6667, 0.1835], [0.3333, 0.6667, 0.8165], [0.6667, 0.3333, 0.0000]]
}


Record 17
{
  "formula": "La3PuTe6",
  "functional": "PBE",
  "state": "relaxed",
  "formation_energy_uncorrected_ev_per_atom": -1.38,
  "lattice": [[12.8412, 0.0000, 0.0000], [0.0000, 4.5422, 0.0000], [-4.2386, 0.0000, 12.5313]],
  "species": ["La", "La", "La", "La", "La", "La", "Pu", "Pu", "Te", "Te", "Te", "Te", "Te", "Te", "Te", "Te", "Te", "Te", "Te", "Te"],
  "fractional_positions": [[0.0800, 0.2500, 0.1691], [0.1824, 0.7500, 0.5053], [0.3424, 0.2500, 0.9244], [0.6576, 0.7500, 0.0756], [0.8176, 0.2500, 0.4947], [0.9200, 0.7500, 0.8309], [0.4584, 0.2500, 0.3124], [0.5416, 0.7500, 0.6876], [0.0155, 0.2500, 0.3805], [0.0978, 0.2500, 0.9310], [0.2591, 0.7500, 0.2866], [0.3140, 0.7500, 0.7520], [0.3914, 0.2500, 0.5388], [0.4179, 0.7500, 0.1081], [0.5821, 0.2500, 0.8919], [0.6086, 0.7500, 0.4612], [0.6860, 0.2500, 0.2480], [0.7409, 0.2500, 0.7134], [0.9022, 0.7500, 0.0690], [0.9845, 0.7500, 0.6195]]
}


Record 18
{
  "formula": "MgTe3",
  "functional": "PBE",
  "state": "relaxed",
  "formation_energy_uncorrected_ev_per_atom": 0.08,
  "lattice": [[0.0000, 3.7897, 3.7897], [3.7897, 0.0000, 3.7897], [3.7897, 3.7897, 0.0000]],
  "species": ["Mg", "Te", "Te", "Te"],
  "fractional_positions": [[0.0000, 0.0000, 0.0000], [0.2500, 0.2500, 0.2500], [0.5000, 0.5000, 0.5000], [0.7500, 0.7500, 0.7500]]
}


Record 19
{
  "formula": "Cs3RhCl8",
  "functional": "PBE",
  "state": "relaxed",
  "formation_energy_uncorrected_ev_per_atom": -0.91,
  "lattice": [[-3.8078, 3.8078, 7.2295], [3.8078, -3.8078, 7.2295], [3.8078, 3.8078, -7.2295]],
  "species": ["Cs", "Cs", "Cs", "Rh", "Cl", "Cl", "Cl", "Cl", "Cl", "Cl", "Cl", "Cl"],
  "fractional_positions": [[0.0000, 0.0000, 0.0000], [0.2500, 0.7500, 0.5000], [0.7500, 0.2500, 0.5000], [0.5000, 0.5000, 0.0000], [0.2028, 0.2028, 0.6103], [0.2028, 0.5926, 0.0000], [0.4074, 0.4074, 0.6103], [0.4074, 0.7972, 0.0000], [0.5926, 0.2028, 0.0000], [0.5926, 0.5926, 0.3897], [0.7972, 0.4074, 0.0000], [0.7972, 0.7972, 0.3897]]
}


Record 20
{
  "formula": "LuAl3",
  "functional": "PBE",
  "state": "relaxed",
  "e_form_ev_per_atom": -0.379,
  "lattice": [[6.0283, 0.0000, 0.0000], [-3.0142, 5.2207, 0.0000], [0.0000, 0.0000, 4.7636]],
  "species": ["Lu", "Lu", "Al", "Al", "Al", "Al", "Al", "Al"],
  "fractional_positions": [[0.3333, 0.6667, 0.2500], [0.6667, 0.3333, 0.7500], [0.1534, 0.3068, 0.7500], [0.1534, 0.8466, 0.7500], [0.3068, 0.1534, 0.2500], [0.6932, 0.8466, 0.7500], [0.8466, 0.1534, 0.2500], [0.8466, 0.6932, 0.2500]]
}